! NiRhO2 | the Alexandria database | PBE+U | optimized geometry; values from VASP
&SYSTEM
  ibrav = 0, nat = 16, ntyp = 3
/
ATOMIC_SPECIES
Ni 58.69 Ni.upf
Rh 102.91 Rh.upf
O 16.00 O.upf
CELL_PARAMETERS angstrom
5.634 0.000 0.000
0.000 10.879 0.000
0.000 0.000 2.843
ATOMIC_POSITIONS crystal
Ni 0.000 0.000 0.000
Ni 0.000 0.500 0.000
Ni 0.500 0.000 0.500
Ni 0.500 0.500 0.500
Rh 0.250 0.250 0.250
Rh 0.250 0.750 0.750
Rh 0.750 0.250 0.250
Rh 0.750 0.750 0.750
O 0.000 0.121 0.459
O 0.000 0.379 0.459
O 0.000 0.621 0.541
O 0.000 0.879 0.541
O 0.500 0.121 0.041
O 0.500 0.379 0.041
O 0.500 0.621 0.959
O 0.500 0.879 0.959
! * DOS at the Fermi energy: 1.06 states/eV/f.u.
! * final energy: -86.98 eV for the cell shown
! * total moment: 0.0 μB per formula unit